DFT (PBE-GGA) results for a geometry-optimized Mn3SiTe structure.

a = 4.8885 Å, b = 4.8885 Å, c = 4.8885 Å
α = 90.00°, β = 90.00°, γ = 90.00°
Closest atoms and distances in Å follow each position.
Space group Pm-3m (No. 221)
Inequivalent atoms, fractional coordinates:
1 Mn 0.0000 0.0000 0.5000 x3  2 Te 2.44
2 Si 0.5000 0.5000 0.5000 x1  12 Mn 3.46
3 Te 0.0000 0.0000 0.0000 x1  6 Mn 2.44

Output
volume: 116.82 Å³/f.u.
formation energy (no corrections): 1.22 eV per atom
DOS(E_F): 1.204 states/eV per atom
magnetic moment: 10.36 μB/cell
theoretical density: 4556 kg/m³

DFT (PBE-GGA) results for a geometry-optimized AgPSe structure.

a = 6.3542 Å, b = 6.3542 Å, c = 6.3542 Å
α = 90.00°, β = 90.00°, γ = 90.00°
Closest atoms and distances in Å follow each position.
Space group F-43m (No. 216)
Inequivalent atoms, fractional coordinates:
1 Ag 0.0000 0.0000 0.0000 x4  4 P 2.75
2 P 0.2500 0.2500 0.2500 x4  4 Se 2.75, 4 Ag 2.75
3 Se 0.0000 0.0000 0.5000 x4  4 P 2.75

Output
volume: 64.14 Å³/f.u.
formation energy (no corrections): 0.53 eV per atom
DOS(E_F): 0.625 states/eV per atom
magnetic moment: 0.00 μB/cell
theoretical density: 5639 kg/m³

DFT (PBE-GGA) results for a geometry-optimized MgCo2PH structure.

a = 3.2328 Å, b = 10.0907 Å, c = 6.5362 Å
α = 90.00°, β = 90.00°, γ = 90.00°
Closest atoms and distances in Å follow each position.
Space group Cmcm (No. 63)
Inequivalent atoms, fractional coordinates:
1 Mg 0.0000 0.0349 0.2500 x4  4 H 2.33
2 Co 0.0000 0.3428 0.0493 x8  1 H 1.62
3 P 0.0000 0.2344 0.7500 x4  6 Co 2.22-2.24
4 H 0.0000 0.5000 0.0000 x4  2 Co 1.62

Output
volume: 53.30 Å³/f.u.
total energy: -5.353 eV per atom
DOS(E_F): 0.590 states/eV per atom
magnetic moment: 0.00 μB/cell
theoretical density: 5425 kg/m³

DFT (PBE-GGA) results for a geometry-optimized LaNiSb structure.

a = 3.4448 Å, b = 3.4448 Å, c = 11.4014 Å
α = 90.00°, β = 90.00°, γ = 90.00°
Closest atoms and distances in Å follow each position.
Space group I4mm (No. 107)
Inequivalent atoms, fractional coordinates:
1 La 0.0000 0.0000 0.0000 x2  4 Ni 3.17, 5 Sb 3.25-3.46, 4 La 3.44
2 Ni 0.0000 0.0000 0.3215 x2  4 Sb 2.72
3 Sb 0.0000 0.0000 0.7153 x2  4 Ni 2.72

Output
volume: 67.65 Å³/f.u.
formation energy (no corrections): -0.39 eV per atom
DOS(E_F): 0.970 states/eV per atom
magnetic moment: 0.00 μB/cell
theoretical density: 7839 kg/m³

DFT (PBE-GGA) results for a geometry-optimized DyMg5Sn6 structure.

a = 9.4559 Å, b = 10.1995 Å, c = 6.3558 Å
α = 90.00°, β = 101.16°, γ = 90.00°
Closest atoms and distances in Å follow each position.
Space group C2/m (No. 12)
Inequivalent atoms, fractional coordinates:
1 Dy 0.0000 0.0000 0.0000 x2  6 Sn 3.14-3.18, 2 Mg 3.44
2 Mg 0.0000 0.1632 0.5000 x4  6 Sn 3.02-3.10, 1 Mg 3.33
3 Mg 0.0000 0.3375 0.0000 x4  6 Sn 3.04-3.16, 1 Mg 3.32
4 Mg 0.0000 0.5000 0.5000 x2  6 Sn 3.05
5 Sn 0.2443 0.3292 0.7373 x8  5 Mg 3.02-3.16, 1 Dy 3.18, 1 Sn 3.36
6 Sn 0.2454 0.5000 0.2516 x4  5 Mg 3.04-3.10, 1 Dy 3.14, 2 Sn 3.36

Output
volume: 300.70 Å³/f.u.
DOS(E_F): 0.447 states/eV per atom
magnetic moment: 0.00 μB/cell
energy of formation: -189 meV per atom
theoretical density: 5502 kg/m³

DFT (PBE-GGA) results for a geometry-optimized NaSr3Ac3Se8 structure.

a = 8.9043 Å, b = 8.9043 Å, c = 21.7534 Å
α = 90.00°, β = 90.00°, γ = 120.00°
Closest atoms and distances in Å follow each position.
Space group R-3m (No. 166, hexagonal axes)
Inequivalent atoms, fractional coordinates:
1 Na 0.0000 0.0000 0.0000 x3  6 Se 3.09
2 Sr 0.0000 0.5000 0.5000 x9  6 Se 3.14-3.18
3 Ac 0.0000 0.5000 0.0000 x9  6 Se 3.11-3.15
4 Se 0.0000 0.0000 0.2497 x6  3 Sr 3.14, 3 Ac 3.15
5 Se 0.0019 0.5010 0.7467 x18  1 Na 3.09, 2 Ac 3.11, 2 Sr 3.18

Output
volume: 497.90 Å³/f.u.
formation energy (no corrections): -1.87 eV per atom
magnetic moment: 0.00 μB/cell
theoretical density: 5331 kg/m³

- What is the theoretical density in the fifth record?
  5502 kg/m³